No. 1
! Sc2P2Pb | Alexandria | PBE-GGA | relaxed; values from VASP
&SYSTEM
  ibrav = 0, nat = 10, ntyp = 3
/
ATOMIC_SPECIES
Pb 207.20 Pb.upf
P 30.97 P.upf
Sc 44.96 Sc.upf
CELL_PARAMETERS angstrom
7.5871 0.0000 0.0000
0.0000 7.5871 0.0000
0.0000 0.0000 3.4858
ATOMIC_POSITIONS angstrom
Pb 3.7936 3.7936 0.0000
P 6.4910 4.8897 0.0000
P 2.6974 6.4910 0.0000
Sc 6.4769 2.6833 1.7429
Sc 4.9038 6.4769 1.7429
Sc 1.1103 4.9038 1.7429
Pb 0.0000 0.0000 0.0000
Sc 2.6833 1.1103 1.7429
P 4.8897 1.0961 0.0000
P 1.0961 2.6974 0.0000
! Crystal system: tetragonal
! Symmetry: P4/mbm, No. 127
! Formation energy, eV per atom: -0.7651

No. 2
! GdTmPuAl | Alexandria | PBE-GGA | relaxed; values from VASP
&SYSTEM
  ibrav = 0, nat = 4, ntyp = 4
/
ATOMIC_SPECIES
Pu 244.00 Pu.upf
Al 26.98 Al.upf
Tm 168.93 Tm.upf
Gd 157.25 Gd.upf
CELL_PARAMETERS angstrom
-4.8670 -1.4165 -1.5527
-0.7288 -2.1800 -4.7772
-1.2638 -5.1325 -0.4066
ATOMIC_POSITIONS angstrom
Pu -3.4298 -4.3645 -3.3682
Al -5.1446 -6.5468 -5.0523
Tm -1.7149 -2.1823 -1.6841
Gd 0.0000 0.0000 0.0000
! Crystal system: cubic
! Symmetry: F-43m, No. 216
! Formation energy, eV per atom: 0.0114

No. 3
! Cs2BePdCl6 | Alexandria | PBE-GGA | relaxed; values from VASP
&SYSTEM
  ibrav = 0, nat = 10, ntyp = 4
/
ATOMIC_SPECIES
Cl 35.45 Cl.upf
Cs 132.91 Cs.upf
Pd 106.42 Pd.upf
Be 9.01 Be.upf
CELL_PARAMETERS angstrom
6.9714 0.0000 0.0000
0.0000 6.9714 0.0000
3.4857 3.4857 5.5322
ATOMIC_POSITIONS angstrom
Cl 1.9474 5.0240 0.0000
Cl 5.0240 1.9474 0.0000
Cs 3.4857 6.9714 2.7661
Pd 0.0000 0.0000 0.0000
Cl 1.9474 1.9474 0.0000
Cl 6.9714 6.9714 2.3354
Cl 5.0240 5.0240 0.0000
Cs 6.9714 3.4857 2.7661
Be 3.4857 3.4857 0.0000
Cl 3.4857 3.4857 3.1968
! Crystal system: tetragonal
! Symmetry: I4/mmm, No. 139
! Formation energy from raw total energies, eV per atom: -1.184

No. 4
! Sm4Ho5 | Alexandria | PBE-GGA | relaxed; values from VASP
&SYSTEM
  ibrav = 0, nat = 9, ntyp = 2
/
ATOMIC_SPECIES
Sm 150.36 Sm.upf
Ho 164.93 Ho.upf
CELL_PARAMETERS angstrom
-1.6522 -0.8035 -3.1504
-2.3106 -8.7208 1.3279
-8.5114 2.8365 1.6323
ATOMIC_POSITIONS angstrom
Sm -2.7162 -6.7284 -1.0776
Sm -7.6910 -3.8118 0.7860
Ho -1.6728 -3.3698 -0.3715
Sm -5.3448 -8.1848 0.6708
Ho -6.7017 -0.5364 1.5435
Ho -8.7344 -7.1704 0.0798
Ho -4.3775 -4.8684 1.4294
Ho -8.2542 2.3570 1.6197
Sm -5.0624 -2.3554 -0.9624
! Crystal system: orthorhombic
! Energy above the most stable polymorph in this dataset, eV per formula unit: 0.14
! Symmetry: Immm, No. 71
! Formation energy, eV per atom: 0.0335

No. 5
! MnCdFe2 | Alexandria | PBE-GGA | relaxed; values from VASP
&SYSTEM
  ibrav = 0, nat = 4, ntyp = 3
/
ATOMIC_SPECIES
Fe 55.84 Fe.upf
Mn 54.94 Mn.upf
Cd 112.41 Cd.upf
CELL_PARAMETERS angstrom
-3.6719 -4.1018 2.4408
1.2870 -0.3527 -4.5936
1.0737 -2.4530 0.4767
ATOMIC_POSITIONS angstrom
Fe 0.0000 0.0000 0.0000
Mn 1.1803 -1.4028 -2.0585
Cd -1.1925 -2.2272 -1.0764
Fe -1.2991 -3.2774 1.4587
! Crystal system: monoclinic
! Symmetry: C2/m, No. 12
! Formation energy, eV per atom: 0.3983

No. 6
! Ta2FeCu | Alexandria | PBE-GGA | relaxed; values from VASP
&SYSTEM
  ibrav = 0, nat = 4, ntyp = 3
/
ATOMIC_SPECIES
Fe 55.84 Fe.upf
Ta 180.95 Ta.upf
Cu 63.55 Cu.upf
CELL_PARAMETERS angstrom
-1.2322 8.5112 1.4566
-3.6809 7.4537 2.6407
-1.2215 7.5414 4.2090
ATOMIC_POSITIONS angstrom
Fe -4.6097 17.6631 6.2415
Ta -0.0580 0.2221 0.0785
Cu -3.0291 11.6068 4.1015
Ta -1.5052 5.7675 2.0381
! Crystal system: trigonal
! Energy above the most stable polymorph in this dataset, eV per formula unit: 1.17
! Symmetry: R3m, No. 160
! Formation energy, eV per atom: 0.3276

Number 1: spin magnetization 0.00 μB/f.u.. Number 2: spin magnetization 1.01 μB/f.u.. Number 3: spin magnetization 0.00 μB/f.u.. Number 4: spin magnetization 0.00 μB/f.u.. Number 5: spin magnetization 8.50 μB/f.u.. Number 6: spin magnetization 1.77 μB/f.u..